# 1
Ce3MgC | PBE-GGA | relaxed

Cell: 5.0081 5.0081 5.0081 Å, 90.00 90.00 90.00°
Site moments in Bohr magnetons follow the coordinates.
Positions (direct):
Mg 0.5000 0.5000 0.5000  0.00
C 0.0000 0.0000 0.0000  -0.05
Ce 0.0000 0.5000 0.0000  0.51
Ce 0.0000 0.0000 0.5000  0.51
Ce 0.5000 0.0000 0.0000  0.51

## Properties
N(E_F) = 11.910 states/eV/cell
energy of formation = -0.3 eV per formula unit

***

# 2
Ce4Mg2C | PBE-GGA | relaxed

Cell: 5.0181 5.0181 8.6755 Å, 73.19 73.19 90.00°
Site moments in Bohr magnetons follow the coordinates.
Positions (direct):
Mg 0.6364 0.6364 0.7272  0.00
Mg 0.3636 0.3636 0.2728  0.00
C 0.0000 0.0000 0.0000  -0.05
Ce 0.8467 0.8467 0.3066  0.82
Ce 0.1533 0.1533 0.6934  0.82
Ce 0.0000 0.5000 0.0000  0.42
Ce 0.5000 0.0000 0.0000  0.42

## Properties
N(E_F) = 19.579 states/eV/cell
energy of formation = 0.9 eV per formula unit

***

# 3
CeMgC | PBE-GGA | relaxed

Cell: 3.5264 3.5264 11.6660 Å, 81.31 81.31 60.00°
Site moments in Bohr magnetons follow the coordinates.
Positions (direct):
C 0.5765 0.5765 0.2706  -0.02
C 0.4235 0.4235 0.7294  -0.02
Ce 0.2781 0.2781 0.1657  0.46
Ce 0.7219 0.7219 0.8343  0.46
Mg 0.8731 0.8731 0.3808  0.00
Mg 0.1269 0.1269 0.6192  0.00

## Properties
N(E_F) = 7.258 states/eV/cell
energy of formation = 0.2 eV per formula unit

***

# 4
CeMg6C | PBE-GGA | relaxed

Cell: 7.0895 7.0895 4.8093 Å, 90.00 90.00 134.05°
Site moments in Bohr magnetons follow the coordinates.
Positions (direct):
Ce 0.8079 0.1921 0.5000  0.76
Mg 0.7956 0.6973 0.5000  0.00
Mg 0.3027 0.2044 0.5000  0.00
Mg 0.6636 0.8204 0.0000  0.00
Mg 0.1796 0.3364 0.0000  0.00
Mg 0.6456 0.3544 0.0000  0.00
Mg 0.2075 0.7925 0.0000  0.00
C 0.3976 0.6024 0.5000  -0.02

## Properties
distance to the lowest polymorph of the same formula = 193 meV/atom
N(E_F) = 9.502 states/eV/cell
energy of formation = 3.3 eV per formula unit

***

# 5
CeMg6C | PBE-GGA | relaxed

Cell: 6.6221 6.6221 4.6749 Å, 90.00 90.00 108.41°
Site moments in Bohr magnetons follow the coordinates.
Positions (direct):
Ce 0.6510 0.3490 0.5000  0.23
Mg 0.7356 0.8794 0.5000  0.00
Mg 0.1206 0.2644 0.5000  0.00
Mg 0.2134 0.7866 0.5000  0.00
Mg 0.9224 0.6515 0.0000  0.00
Mg 0.3485 0.0776 0.0000  0.00
Mg 0.4034 0.5966 0.0000  0.00
C 0.6052 0.3948 0.0000  -0.01

## Properties
distance to the lowest polymorph of the same formula = 0 meV/atom
N(E_F) = 5.977 states/eV/cell
energy of formation = 1.8 eV per formula unit

***

# 6
CeMg14C | PBE-GGA | relaxed

Cell: 6.4323 6.4323 10.0398 Å, 90.00 90.00 120.00°
Site moments in Bohr magnetons follow the coordinates.
Positions (direct):
Ce 0.0000 0.0000 0.0000  0.97
Mg 0.0186 0.5093 0.0000  0.01
Mg 0.9842 0.4921 0.5000  0.00
Mg 0.4907 0.9814 0.0000  0.01
Mg 0.5079 0.0158 0.5000  0.00
Mg 0.4907 0.5093 0.0000  0.01
Mg 0.5079 0.4921 0.5000  0.00
Mg 0.1560 0.8440 0.2785  0.00
Mg 0.1560 0.8440 0.7215  0.00
Mg 0.1560 0.3121 0.2785  0.00
Mg 0.1560 0.3121 0.7215  0.00
Mg 0.6879 0.8440 0.2785  0.00
Mg 0.6879 0.8440 0.7215  0.00
Mg 0.6667 0.3333 0.2356  0.00
Mg 0.6667 0.3333 0.7644  0.00
C 0.0000 0.0000 0.5000  0.03

## Properties
distance to the lowest polymorph of the same formula = 107 meV/atom
N(E_F) = 15.858 states/eV/cell
energy of formation = 5.0 eV per formula unit

***

# 7
Ce2MgPbC | PBE-GGA | relaxed

Cell: 4.5942 5.0123 5.0123 Å, 90.00 90.00 90.00°
Site moments in Bohr magnetons follow the coordinates.
Positions (direct):
Ce 0.0000 0.0000 0.5000  0.46
Ce 0.0000 0.5000 0.0000  0.46
Mg 0.5000 0.0000 0.0000  0.01
Pb 0.5000 0.5000 0.5000  -0.02
C 0.0000 0.0000 0.0000  -0.03

## Properties
N(E_F) = 8.249 states/eV/cell
energy of formation = -1.5 eV per formula unit

***

# 8
Ce2MgSnC | PBE-GGA | relaxed

Cell: 4.5430 4.9834 4.9834 Å, 90.00 90.00 90.00°
Site moments in Bohr magnetons follow the coordinates.
Positions (direct):
Ce 0.0000 0.0000 0.5000  0.37
Ce 0.0000 0.5000 0.0000  0.37
Mg 0.5000 0.0000 0.0000  0.01
Sn 0.5000 0.5000 0.5000  -0.02
C 0.0000 0.0000 0.0000  -0.02

## Properties
N(E_F) = 7.682 states/eV/cell
energy of formation = -1.9 eV per formula unit

***

# 9
CeMnC | PBE-GGA | relaxed

Cell: 4.3936 3.3479 3.3479 Å, 120.00 90.00 90.00°
Positions (direct):
C 0.1670 0.0000 0.0000
Mn 0.1667 0.3333 0.6667
Ce 0.6663 0.6667 0.3333

## Properties
distance to the lowest polymorph of the same formula = 101 meV/atom
N(E_F) = 3.644 states/eV/cell
energy of formation = 0.0 eV per formula unit

***

# 10
CeMnC | PBE-GGA | relaxed

Cell: 2.7895 2.7895 5.2865 Å, 105.30 105.30 90.00°
Positions (direct):
C 0.7135 0.7135 0.4270
Mn 0.2771 0.2771 0.5542
Ce 0.0094 0.0094 0.0187

## Properties
distance to the lowest polymorph of the same formula = 335 meV/atom
N(E_F) = 3.032 states/eV/cell
energy of formation = 0.7 eV per formula unit

***

# 11
Ce3MnC3 | PBE-GGA | relaxed

Cell: 5.2678 6.6473 6.6488 Å, 100.54 90.00 90.00°
Site moments in Bohr magnetons follow the coordinates.
Positions (direct):
Ce 0.7500 0.5775 0.8249  0.20
Ce 0.7500 0.1161 0.8839  0.21
Ce 0.7500 0.1752 0.4224  0.20
Ce 0.2500 0.4225 0.1751  0.20
Ce 0.2500 0.8839 0.1161  0.21
Ce 0.2500 0.8248 0.5776  0.20
Mn 0.2500 0.3028 0.6972  0.58
Mn 0.7500 0.6972 0.3028  0.58
C 0.2500 0.5716 0.8325  -0.02
C 0.2500 0.1229 0.8771  -0.01
C 0.2500 0.1676 0.4286  -0.02
C 0.7500 0.4284 0.1675  -0.02
C 0.7500 0.8771 0.1229  -0.01
C 0.7500 0.8324 0.5714  -0.02

## Properties
N(E_F) = 20.078 states/eV/cell
energy of formation = -1.4 eV per formula unit

***

# 12
CeMnC | PBE-GGA | relaxed

Cell: 3.3680 5.6640 4.9044 Å, 112.05 90.00 90.00°
Positions (direct):
Ce 0.7500 0.6932 0.8276
Ce 0.2500 0.3068 0.1724
Mn 0.7500 0.8545 0.3211
Mn 0.2500 0.1455 0.6789
C 0.7500 0.2307 0.5207
C 0.2500 0.7693 0.4793

## Properties
distance to the lowest polymorph of the same formula = 0 meV/atom
N(E_F) = 5.008 states/eV/cell
energy of formation = -0.3 eV per formula unit

***

# 13
CeMnC | PBE-GGA | relaxed

Cell: 3.1931 4.9798 5.9883 Å, 72.14 74.54 71.30°
Site moments in Bohr magnetons follow the coordinates.
Positions (direct):
Ce 0.9305 0.7956 0.3433  -0.20
Ce 0.0695 0.2044 0.6567  -0.20
Mn 0.3129 0.2950 0.0791  0.98
Mn 0.6871 0.7050 0.9209  0.98
C 0.6875 0.3874 0.2377  -0.04
C 0.3125 0.6126 0.7623  -0.04

## Properties
distance to the lowest polymorph of the same formula = 6 meV/atom
N(E_F) = 7.826 states/eV/cell
energy of formation = -0.3 eV per formula unit

***

# 14
Ce3Mn4C4 | PBE-GGA | relaxed

Cell: 3.3380 6.9314 7.2480 Å, 118.57 103.31 90.00°
Site moments in Bohr magnetons follow the coordinates.
Positions (direct):
Ce 0.1072 0.1072 0.2145  0.15
Ce 0.8928 0.8928 0.7855  0.15
Ce 0.0000 0.5000 0.0000  -0.07
Mn 0.3198 0.1389 0.6395  2.03
Mn 0.6802 0.4993 0.3605  2.03
Mn 0.6802 0.8611 0.3605  2.03
Mn 0.3198 0.5007 0.6395  2.03
C 0.2234 0.7234 0.4468  -0.09
C 0.7766 0.2766 0.5532  -0.09
C 0.5000 0.7754 0.0000  -0.01
C 0.5000 0.2246 0.0000  -0.01

## Properties
N(E_F) = 10.463 states/eV/cell
energy of formation = 1.3 eV per formula unit

***

# 15
Ce2MnC | PBE-GGA | relaxed

Cell: 3.4413 3.4413 7.9241 Å, 77.46 77.46 60.00°
Site moments in Bohr magnetons follow the coordinates.
Positions (direct):
C 0.5000 0.5000 0.5000  0.05
Mn 0.0000 0.0000 0.0000  2.02
Ce 0.1018 0.1018 0.6947  -0.45
Ce 0.8982 0.8982 0.3053  -0.45

## Properties
N(E_F) = 4.783 states/eV/cell
energy of formation = 1.3 eV per formula unit

***

# 16
Ce2MnC4 | PBE-GGA | relaxed

Cell: 5.1192 6.7664 6.7664 Å, 67.13 67.77 67.77°
Site moments in Bohr magnetons follow the coordinates.
Positions (direct):
C 0.1234 0.2205 0.5326  -0.01
C 0.8766 0.7795 0.4674  -0.01
C 0.6234 0.5326 0.2205  -0.01
C 0.3766 0.4674 0.7795  -0.01
C 0.0805 0.0862 0.7528  -0.03
C 0.9195 0.9138 0.2472  -0.03
C 0.5805 0.7528 0.0862  -0.03
C 0.4195 0.2472 0.9138  -0.03
Mn 0.2500 0.0000 0.0000  0.77
Mn 0.7500 0.0000 0.0000  0.77
Ce 0.3561 0.8109 0.4769  0.16
Ce 0.6439 0.1891 0.5231  0.16
Ce 0.8561 0.4769 0.8109  0.16
Ce 0.1439 0.5231 0.1891  0.16

## Properties
N(E_F) = 10.529 states/eV/cell
energy of formation = -1.6 eV per formula unit

***

# 17
CeMn2C3 | PBE-GGA | relaxed

Cell: 4.8870 6.5955 5.6268 Å, 125.88 90.00 90.00°
Site moments in Bohr magnetons follow the coordinates.
Positions (direct):
Ce 0.7500 0.2960 0.5920  0.11
Ce 0.2500 0.7040 0.4080  0.11
Mn 0.5000 0.1892 0.0000  0.79
Mn 0.5000 0.8108 0.0000  0.79
Mn 0.0000 0.8108 0.0000  0.79
Mn 0.0000 0.1892 0.0000  0.79
C 0.2500 0.5315 0.8495  -0.01
C 0.7500 0.4685 0.1505  -0.01
C 0.7500 0.6820 0.1505  -0.01
C 0.2500 0.3180 0.8495  -0.01
C 0.2500 0.0845 0.1690  -0.06
C 0.7500 0.9155 0.8310  -0.06

## Properties
N(E_F) = 11.223 states/eV/cell
energy of formation = -0.3 eV per formula unit

***

# 18
Ce2MnC2 | PBE-GGA | relaxed

Cell: 5.2420 6.0586 6.4808 Å, 118.30 90.00 115.63°
Positions (direct):
Ce 0.6907 0.3815 0.6402
Ce 0.3093 0.6185 0.3598
Ce 0.0423 0.0846 0.8055
Ce 0.9577 0.9154 0.1945
Mn 0.3695 0.7389 0.8719
Mn 0.6305 0.2611 0.1281
C 0.1806 0.3611 0.6021
C 0.8194 0.6389 0.3979
C 0.4928 0.9855 0.2176
C 0.5072 0.0145 0.7824

## Properties
N(E_F) = 13.519 states/eV/cell
energy of formation = -1.1 eV per formula unit

***

# 19
CeMn2C2 | PBE-GGA | relaxed

Cell: 5.2003 5.2003 5.5223 Å, 109.37 109.37 107.19°
Positions (direct):
Ce 0.8750 0.6250 0.7500
Ce 0.1250 0.3750 0.2500
Mn 0.2382 0.9881 0.4763
Mn 0.4881 0.7382 0.9763
Mn 0.7618 0.0119 0.5237
Mn 0.5119 0.2618 0.0237
C 0.1911 0.3089 0.7500
C 0.4410 0.0590 0.2500
C 0.5590 0.9410 0.7500
C 0.8089 0.6911 0.2500

## Properties
N(E_F) = 5.735 states/eV/cell
energy of formation = -1.5 eV per formula unit

***

# 20
CeMnC2 | PBE-GGA | relaxed

Cell: 3.2786 3.2786 5.5817 Å, 72.92 72.92 60.00°
Site moments in Bohr magnetons follow the coordinates.
Positions (direct):
C 0.2706 0.2706 0.1881  -0.08
C 0.7294 0.7294 0.8119  -0.08
Mn 0.0000 0.0000 0.0000  2.37
Ce 0.5000 0.5000 0.5000  0.09

## Properties
N(E_F) = 3.214 states/eV/cell
energy of formation = 0.7 eV per formula unit

***

# 21
CeMn2C | PBE-GGA | relaxed

Cell: 4.4041 4.4041 4.7354 Å, 62.29 62.29 60.00°
Site moments in Bohr magnetons follow the coordinates.
Positions (direct):
C 0.0000 0.0000 0.0000  -0.02
Mn 0.1456 0.1456 0.5632  0.20
Mn 0.8544 0.8544 0.4368  0.20
Ce 0.5000 0.5000 0.5000  0.02

## Properties
N(E_F) = 6.059 states/eV/cell
energy of formation = 2.7 eV per formula unit

***

# 22
CeMnMo2C4 | PBE-GGA | relaxed

Cell: 3.2284 5.6986 10.5949 Å, 90.00 90.00 106.46°
Positions (direct):
Ce 0.0971 0.1942 0.7500
Ce 0.9029 0.8058 0.2500
Mn 0.8346 0.6691 0.7500
Mn 0.1654 0.3309 0.2500
Mo 0.3742 0.7485 0.5413
Mo 0.6258 0.2515 0.0413
Mo 0.6258 0.2515 0.4587
Mo 0.3742 0.7485 0.9587
C 0.2674 0.5347 0.1146
C 0.7326 0.4653 0.6146
C 0.7326 0.4653 0.8854
C 0.2674 0.5347 0.3854
C 0.0000 0.0000 0.5000
C 0.0000 0.0000 0.0000
C 0.4230 0.8460 0.7500
C 0.5770 0.1540 0.2500

## Properties
N(E_F) = 11.563 states/eV/cell
energy of formation = -0.5 eV per formula unit

***

# 23
CeMn2CN | PBE-GGA | relaxed

Cell: 3.4302 5.3190 6.6182 Å, 90.00 90.00 108.81°
Site moments in Bohr magnetons follow the coordinates.
Positions (direct):
Ce 0.4587 0.9173 0.7500  0.01
Ce 0.5413 0.0827 0.2500  0.01
Mn 0.1857 0.3714 0.9377  0.21
Mn 0.8143 0.6286 0.0623  0.21
Mn 0.1857 0.3714 0.5623  0.21
Mn 0.8143 0.6286 0.4377  0.21
C 0.7373 0.4746 0.7500  -0.01
C 0.2627 0.5254 0.2500  -0.01
N 0.0000 0.0000 0.0000  -0.01
N 0.0000 0.0000 0.5000  -0.01

## Properties
formation energy from raw total energies = -447 meV per atom
N(E_F) = 9.681 states/eV/cell

***

# 24
CeMnNb2C4 | PBE-GGA | relaxed

Cell: 3.2555 5.8144 10.8683 Å, 90.00 90.00 106.26°
Positions (direct):
Ce 0.0970 0.1939 0.7500
Ce 0.9030 0.8061 0.2500
Mn 0.8336 0.6671 0.7500
Mn 0.1664 0.3329 0.2500
Nb 0.3705 0.7409 0.5432
Nb 0.6295 0.2591 0.0432
Nb 0.6295 0.2591 0.4568
Nb 0.3705 0.7409 0.9568
C 0.2653 0.5307 0.1180
C 0.7347 0.4693 0.6180
C 0.7347 0.4693 0.8820
C 0.2653 0.5307 0.3820
C 0.0000 0.0000 0.5000
C 0.0000 0.0000 0.0000
C 0.4208 0.8415 0.7500
C 0.5792 0.1585 0.2500

## Properties
N(E_F) = 11.075 states/eV/cell
energy of formation = -2.6 eV per formula unit